The following is a DFT calculation (PBE) of crystalline Ti3AlGe at its relaxed geometry.

Computed properties:
Total moment in μB/atom: 0.05
E_form in meV/atom: -137
DOS(E_F) in states/eV/atom: 1.0954

abc: 5.498 13.873 4.575
angles: 90.00 90.00 90.00
Space group Cmcm (No. 63)
Unique sites:
Ti (0.000, 0.000, 0.000)
Ti (0.249, 0.337, 0.250)
Al (0.000, 0.450, 0.750)
Ge (0.000, 0.176, 0.250)

=====

The following is a DFT calculation (PBE) of crystalline Ba12Hg5O2 at its relaxed geometry.

Computed properties:
Raw formation energy in eV/atom: -0.73
Total moment in μB/atom: 0.00
DOS(E_F) in states/eV/atom: 1.1334

abc: 16.790 10.221 10.912
angles: 90.00 109.87 90.00
Space group C2/m (No. 12)
Unique sites:
Ba (0.004, 0.000, 0.228)
Ba (0.016, 0.500, 0.686)
Ba (0.138, 0.214, 0.563)
Ba (0.153, 0.240, 0.079)
Hg (0.000, 0.500, 0.000)
Hg (0.207, 0.000, 0.867)
Hg (0.225, 0.000, 0.344)
O (0.000, 0.335, 0.500)

=====

The following is a DFT calculation (PBE) of crystalline Te4IrRh at its relaxed geometry.

Computed properties:
Raw formation energy in eV/atom: 1.43
Total moment in μB/atom: 0.00
DOS(E_F) in states/eV/atom: 1.4091

abc: 8.456 8.456 8.456
angles: 90.00 90.00 90.00
Space group F-43m (No. 216)
Unique sites:
Te (0.125, 0.125, 0.125)
Ir (0.250, 0.250, 0.750)
Rh (0.000, 0.000, 0.500)

=====

The following is a DFT calculation (PBE) of crystalline NbOs3Ru at its relaxed geometry.

Computed properties:
Total moment in μB/atom: 0.00
E_form in meV/atom: 312
DOS(E_F) in states/eV/atom: 1.0895

abc: 5.051 7.085 9.106
angles: 90.00 90.00 90.00
Space group Imma (No. 74)
Unique sites:
Nb (0.000, 0.250, 0.004)
Os (0.000, 0.250, 0.705)
Os (0.250, 0.072, 0.250)
Ru (0.000, 0.000, 0.500)

=====

The following is a DFT calculation (PBE) of crystalline CaHoTm2 at its relaxed geometry.

Computed properties:
Total moment in μB/atom: 0.00
E_form in meV/atom: 75
DOS(E_F) in states/eV/atom: 1.3684

abc: 3.5500 3.5500 35.7463
angles: 90.00 90.00 120.00
Space group R3m (No. 160, hexagonal axes)
Unique sites:
Ca (0.0000, 0.0000, 0.0000)
Ho (0.0000, 0.0000, 0.1657)
Tm (0.0000, 0.0000, 0.5775)
Tm (0.0000, 0.0000, 0.7545)

=====

The following is a DFT calculation (PBE) of crystalline ZrHgI2 at its relaxed geometry.

Computed properties:
Raw formation energy in eV/atom: -0.62
Total moment in μB/atom: 0.00

abc: 3.8086 3.8086 34.8350
angles: 90.00 90.00 120.00
Space group R3m (No. 160, hexagonal axes)
Unique sites:
Zr (0.0000, 0.0000, 0.0000)
Hg (0.0000, 0.0000, 0.1591)
I (0.0000, 0.0000, 0.2773)
I (0.0000, 0.0000, 0.3894)

=====

The following is a DFT calculation (PBE) of crystalline PaZn3Cu at its relaxed geometry.

Computed properties:
Total moment in μB/atom: 0.00
E_form in meV/atom: -63
DOS(E_F) in states/eV/atom: 0.6986

abc: 7.935 3.808 11.160
angles: 90.00 90.00 90.00
Space group Pnma (No. 62)
Unique sites:
Pa (0.135, 0.250, 0.003)
Zn (0.070, 0.250, 0.410)
Zn (0.101, 0.750, 0.235)
Zn (0.145, 0.750, 0.779)
Cu (0.137, 0.250, 0.623)

=====

The following is a DFT calculation (PBE) of crystalline Nb3TePb at its relaxed geometry.

Computed properties:
Raw formation energy in eV/atom: 1.22
Total moment in μB/atom: 0.00
DOS(E_F) in states/eV/atom: 1.7370

abc: 5.063 5.063 5.063
angles: 90.00 90.00 90.00
Space group Pm-3m (No. 221)
Unique sites:
Nb (0.000, 0.000, 0.500)
Te (0.000, 0.000, 0.000)
Pb (0.500, 0.500, 0.500)